The following is a DFT calculation (GGA-PBE) of a geometry-optimized ThBeOs structure.

Output
Energy above the lowest structure with this stoichiometry, meV/atom: 0
Size of the total moment, μB per formula unit: 0.0
Calculated total energy, eV/atom: -7.321

Lattice parameters (Å, degrees): 6.125 6.125 6.125 90.00 90.00 90.00
Space group F-43m (No. 216)
Symmetry-distinct sites (fractional):
Th 0.000 0.000 0.000
Be 0.250 0.250 0.750
Os 0.000 0.000 0.500


The following is a DFT calculation (GGA-PBE) of a geometry-optimized YUHg structure.

Output
Size of the total moment, μB per formula unit: 3.3
Calculated total energy, eV/atom: -5.102

Lattice parameters (Å, degrees): 7.099 7.099 7.099 90.00 90.00 90.00
Space group F-43m (No. 216)
Symmetry-distinct sites (fractional):
Y 0.000 0.000 0.000
U 0.250 0.250 0.750
Hg 0.000 0.000 0.500


The following is a DFT calculation (GGA-PBE) of a geometry-optimized GaTcIr2 structure.

Output
Size of the total moment, μB per formula unit: 0.0
Calculated total energy, eV/atom: -7.735

Lattice parameters (Å, degrees): 6.169 6.169 6.169 90.00 90.00 90.00
Space group F-43m (No. 216)
Symmetry-distinct sites (fractional):
Ga 0.000 0.000 0.000
Tc 0.250 0.250 0.250
Ir 0.000 0.000 0.500
Ir 0.250 0.250 0.750


The following is a DFT calculation (GGA-PBE) of a geometry-optimized TaRe5 structure.

Output
Energy above the lowest structure with this stoichiometry, meV/atom: 14
Size of the total moment, μB per formula unit: 0.0
Calculated total energy, eV/atom: -12.241

Lattice parameters (Å, degrees): 5.1289 5.1289 16.7694 90.00 90.00 120.00
Space group P6_3/mmc (No. 194)
Symmetry-distinct sites (fractional):
Ta 0.3333 0.6667 0.1540
Re 0.0000 0.0000 0.0863
Re 0.0000 0.5000 0.0000
Re 0.1603 0.3206 0.7500
Re 0.3333 0.6667 0.6277


The following is a DFT calculation (GGA-PBE) of a geometry-optimized TlHg3Te4Mo structure.

Output
Size of the total moment, μB per formula unit: 2.8
Calculated total energy, eV/atom: -2.779

Lattice parameters (Å, degrees): 7.174 7.174 7.174 90.00 90.00 90.00
Space group P-43m (No. 215)
Symmetry-distinct sites (fractional):
Tl 0.000 0.000 0.000
Hg 0.000 0.500 0.500
Te 0.283 0.283 0.283
Mo 0.500 0.500 0.500


The following is a DFT calculation (GGA-PBE) of a geometry-optimized ZnTe structure.

Output
Calculated total energy, eV/atom: -2.156

Lattice parameters (Å, degrees): 5.065 12.302 6.346 90.00 90.00 90.00
Space group Pmmn (No. 59, origin choice 2)
Symmetry-distinct sites (fractional):
Zn 0.250 0.105 0.126
Zn 0.250 0.250 0.824
Zn 0.250 0.750 0.583
Te 0.250 0.091 0.533
Te 0.250 0.614 0.026


The following is a DFT calculation (GGA-PBE) of a geometry-optimized Sr2ZnCuH6 structure.

Output
Calculated total energy, eV/atom: -3.084

Lattice parameters (Å, degrees): 7.617 7.617 7.617 90.00 90.00 90.00
Space group Fm-3m (No. 225)
Symmetry-distinct sites (fractional):
Sr 0.250 0.250 0.250
Zn 0.000 0.000 0.000
Cu 0.000 0.000 0.500
H 0.000 0.000 0.260


The following is a DFT calculation (GGA-PBE) of a geometry-optimized Cd4Re2F structure.

Output
Size of the total moment, μB per formula unit: 1.1
Calculated total energy, eV/atom: -4.206

Lattice parameters (Å, degrees): 7.308 7.308 5.225 90.00 90.00 90.00
Space group I4/mmm (No. 139)
Symmetry-distinct sites (fractional):
Cd 0.231 0.231 0.000
Re 0.000 0.500 0.250
F 0.000 0.000 0.000